# 1
CaMg2Ag | SCAN | PBEsol geometry

abc: 3.478 3.478 9.716
angles: 79.69 79.69 60.00
Atoms (fractional coordinates):
Mg 0.235 0.235 0.295
Mg 0.765 0.765 0.705
Ca 0.000 0.000 0.000
Ag 0.500 0.500 0.500

# 2
TlZnHg | SCAN | PBEsol geometry

abc: 3.698 4.632 4.632
angles: 120.00 90.00 90.00
Atoms (fractional coordinates):
Zn 0.168 0.667 0.333
Tl 0.666 0.333 0.667
Hg 0.166 0.000 0.000

# 3
Zn2TcAs | SCAN | PBEsol geometry

abc: 3.222 3.222 5.469
angles: 90.00 90.00 90.00
Atoms (fractional coordinates):
Zn 0.000 0.000 0.012
Zn 0.500 0.500 0.234
As 0.000 0.000 0.518
Tc 0.500 0.500 0.736

# 4
Ca3PPb | SCAN | PBEsol geometry

abc: 5.381 5.381 5.381
angles: 90.00 90.00 90.00
Atoms (fractional coordinates):
Ca 0.500 0.000 0.500
Ca 0.000 0.500 0.500
Ca 0.500 0.500 0.000
Pb 0.000 0.000 0.000
P 0.500 0.500 0.500

Quick rundown of ΔE_f, same order as above: 0.046 0.124 -0.079 -0.892 eV/atom
Quick rundown of D(E_F), same order as above: 2.0 1.5 1.2 4.8 states/eV/f.u.
Quick rundown of DFT total energy, same order as above: -50.8 -153.7 -82.6 -119.6 eV for the cell shown